Compound: InSiAg2
Source: the Alexandria database
Functional: PBE-GGA
Structure: optimized geometry

Structure (POSCAR):
```
InSiAg2
1.0
4.264 0.000 0.000
0.000 4.264 0.000
2.132 2.132 9.075
Si Ag In
2 4 2
Cartesian
2.132 2.132 0.000
2.132 4.264 4.537
3.067 1.066 2.269
1.197 3.198 2.269
3.198 3.329 6.806
5.330 5.199 6.806
0.000 0.000 0.000
4.264 2.132 4.537
```

Computed properties:
ΔE_f (raw) in eV per atom: 0.251
Space-group type: I-42d, No. 122

Compound: NaRuRh
Source: the Alexandria database
Functional: PBE-GGA
Structure: optimized geometry

Structure (POSCAR):
```
NaRuRh
1.0
4.741 0.009 -0.014
3.253 8.265 0.002
0.811 -0.314 2.622
Na Rh Ru
2 2 2
Cartesian
4.915 1.380 1.760
1.934 3.303 0.017
4.377 4.781 0.897
2.473 -0.099 0.880
6.648 5.937 1.783
4.265 6.697 2.618
```

Computed properties:
Space-group type: P-1, No. 2
Energy of formation from the pure elements in eV/atom: 0.32

| no. | calculated volume (Å³ per cell) | DOS(E_F) (states/eV/atom) |
| --- | --- | --- |
| 1 | 165 | 0.328 |
| 2 | 103 | 0.885 |